1.
DFT (PBE-GGA) results for a geometry-optimized K3Cd2Pb5 structure.

a = 10.7854 Å, b = 10.7854 Å, c = 10.7854 Å
α = 105.19°, β = 89.45°, γ = 138.39°
Fractional positions:
K1 0.1233 0.7257 0.8490
K2 0.2500 0.2500 0.0000
K3 0.3767 0.2257 0.6024
K4 0.6233 0.7743 0.3976
K5 0.7500 0.7500 0.0000
K6 0.8767 0.2743 0.1510
Cd1 0.1500 0.1472 0.2972
Cd2 0.3500 0.6472 0.9971
Cd3 0.6500 0.3528 0.0029
Cd4 0.8500 0.8528 0.7028
Pb1 0.0097 0.2500 0.7597
Pb2 0.1301 0.3707 0.5008
Pb3 0.2500 0.7500 0.5000
Pb4 0.3699 0.8707 0.2405
Pb5 0.4903 0.2500 0.2403
Pb6 0.5097 0.7500 0.7597
Pb7 0.6301 0.1293 0.7595
Pb8 0.7500 0.2500 0.5000
Pb9 0.8699 0.6293 0.4992
Pb10 0.9903 0.7500 0.2403

## Properties
- symmetry = Ibam (72)
- final energy (eV/atom) = -2.418
- spin magnetization (μB per cell) = 0.00
- calculated density (g cm⁻³) = 5.95

---

2.
DFT (PBE-GGA) results for a geometry-optimized PrDy8Ho6 structure.

a = 8.5998 Å, b = 8.5998 Å, c = 8.5998 Å
α = 63.15°, β = 63.15°, γ = 63.15°
Fractional positions:
Pr1 0.0000 0.0000 0.0000
Dy1 0.1109 0.7198 0.7447
Dy2 0.2553 0.8891 0.2802
Dy3 0.2802 0.2553 0.8891
Dy4 0.4234 0.4234 0.4234
Dy5 0.5766 0.5766 0.5766
Dy6 0.7198 0.7447 0.1109
Dy7 0.7447 0.1109 0.7198
Dy8 0.8891 0.2802 0.2553
Ho1 0.1061 0.5372 0.2352
Ho2 0.2352 0.1061 0.5372
Ho3 0.4628 0.7648 0.8939
Ho4 0.5372 0.2352 0.1061
Ho5 0.7648 0.8939 0.4628
Ho6 0.8939 0.4628 0.7648

## Properties
- symmetry = R-3 (148)
- final energy (eV/atom) = -4.469
- spin magnetization (μB per cell) = 0.00
- calculated density (g cm⁻³) = 8.39

---

Number 1: E_form -0.05 eV/atom. Number 2: E_form 0.14 eV/atom.